1.
! K2GaSnAu6 (PBE, optimized geometry); values from VASP
&SYSTEM
  ibrav = 0, nat = 10, ntyp = 4
/
ATOMIC_SPECIES
Ga 69.72 Ga.upf
Au 196.97 Au.upf
K 39.10 K.upf
Sn 118.71 Sn.upf
ATOMIC_POSITIONS angstrom
Ga 0.000 0.000 0.000
Au 1.384 4.996 0.515
Au 9.469 5.603 4.395
Au 8.013 7.083 2.329
Au 2.839 3.515 2.581
Au 9.472 8.516 4.393
Au 1.380 2.082 0.517
K 4.245 7.073 2.039
K 6.607 3.526 2.871
Sn 3.654 3.544 -0.065
CELL_PARAMETERS angstrom
7.289 0.001 -0.131
0.019 7.088 0.002
3.544 3.510 5.039
! D(E_F), states/eV per atom: 0.27
! Volume, Å³/atom: 26.4
! Uncorrected energy, eV per atom: -3.1437
! Space-group type: P-1
! Calculated density, g/cm3: 9.13
! Energy relative to the elements, eV/atom: -0.25
! Crystal system: triclinic

=====

2.
! KGa2Te4Au (PBE, optimized geometry); values from VASP
&SYSTEM
  ibrav = 0, nat = 8, ntyp = 4
/
ATOMIC_SPECIES
Au 196.97 Au.upf
Ga 69.72 Ga.upf
Te 127.60 Te.upf
K 39.10 K.upf
ATOMIC_POSITIONS angstrom
Au 3.277 3.254 2.911
Ga 6.554 2.314 3.961
Ga 6.554 4.193 1.861
Te 8.469 3.203 0.460
Te 8.469 3.304 5.362
Te 4.638 5.695 2.690
Te 4.638 0.812 3.133
K 0.000 0.000 0.000
CELL_PARAMETERS angstrom
6.554 0.000 0.000
3.277 6.415 -0.622
3.277 0.092 6.444
! D(E_F), states/eV per atom: 0.15
! Volume, Å³/atom: 33.9
! Uncorrected energy, eV per atom: -3.0868
! Space-group type: I222
! ΔE_f (raw), eV per atom: -0.21
! Calculated density, g/cm3: 5.42
! Crystal system: orthorhombic

=====

3.
! KTlGaAu (PBE, optimized geometry); values from VASP
&SYSTEM
  ibrav = 0, nat = 4, ntyp = 4
/
ATOMIC_SPECIES
Ga 69.72 Ga.upf
K 39.10 K.upf
Au 196.97 Au.upf
Tl 204.38 Tl.upf
ATOMIC_POSITIONS angstrom
Ga -3.341 4.206 -0.030
K -5.949 6.115 1.518
Au -1.971 2.041 0.486
Tl -4.573 1.503 4.822
CELL_PARAMETERS angstrom
-0.479 4.493 0.271
-3.582 2.013 -1.900
-4.843 1.447 5.271
! D(E_F), states/eV per atom: 0.72
! Volume, Å³/atom: 30.3
! Uncorrected energy, eV per atom: -2.6221
! Space-group type: R3m
! Calculated density, g/cm3: 7.00
! Energy relative to the elements, eV/atom: -0.18
! Crystal system: trigonal

=====

4.
! K2TlGaAu (PBE, optimized geometry); values from VASP
&SYSTEM
  ibrav = 0, nat = 5, ntyp = 4
/
ATOMIC_SPECIES
Ga 69.72 Ga.upf
K 39.10 K.upf
Tl 204.38 Tl.upf
Au 196.97 Au.upf
ATOMIC_POSITIONS angstrom
Ga 0.000 0.000 2.434
K 3.192 0.000 0.000
K 0.000 3.192 0.000
Tl 3.192 3.192 2.434
Au 0.000 0.000 0.000
CELL_PARAMETERS angstrom
6.385 0.000 0.000
0.000 6.385 0.000
0.000 0.000 4.868
! D(E_F), states/eV per atom: 0.69
! Volume, Å³/atom: 39.7
! Uncorrected energy, eV per atom: -2.2157
! Space-group type: P4/mmm
! Calculated density, g/cm3: 4.60
! Energy relative to the elements, eV/atom: -0.04
! Crystal system: tetragonal

=====

5.
! KTl2GaAu2 (PBE, optimized geometry); values from VASP
&SYSTEM
  ibrav = 0, nat = 12, ntyp = 4
/
ATOMIC_SPECIES
Ga 69.72 Ga.upf
K 39.10 K.upf
Au 196.97 Au.upf
Tl 204.38 Tl.upf
ATOMIC_POSITIONS angstrom
Ga 0.001 0.938 6.269
Ga 2.383 4.496 3.692
K 2.553 2.128 1.255
K 3.236 1.166 5.242
Au 0.764 -1.529 5.536
Au 4.871 3.491 3.752
Au 1.735 1.927 8.207
Au 0.526 2.445 3.978
Tl 3.667 4.489 6.893
Tl 0.803 -0.359 2.848
Tl -1.168 1.934 0.996
Tl 4.726 1.422 8.324
CELL_PARAMETERS angstrom
-3.286 3.159 1.326
-0.398 -3.419 7.162
5.997 5.080 2.758
! D(E_F), states/eV per atom: 0.45
! Volume, Å³/atom: 26.2
! Uncorrected energy, eV per atom: -2.7277
! Space-group type: Pmc2_1
! Calculated density, g/cm3: 9.63
! Energy relative to the elements, eV/atom: -0.16
! Crystal system: orthorhombic

=====

6.
! KTl2GaAu (PBE, optimized geometry); values from VASP
&SYSTEM
  ibrav = 0, nat = 5, ntyp = 4
/
ATOMIC_SPECIES
Tl 204.38 Tl.upf
K 39.10 K.upf
Au 196.97 Au.upf
Ga 69.72 Ga.upf
ATOMIC_POSITIONS angstrom
Tl 0.000 2.848 0.000
Tl 2.848 0.000 0.000
K 2.848 2.848 2.499
Au 0.000 0.000 2.499
Ga 0.000 0.000 0.000
CELL_PARAMETERS angstrom
5.696 0.000 0.000
0.000 5.696 0.000
0.000 0.000 4.999
! D(E_F), states/eV per atom: 0.90
! Volume, Å³/atom: 32.4
! Uncorrected energy, eV per atom: -2.4251
! Space-group type: P4/mmm
! Calculated density, g/cm3: 7.32
! Energy relative to the elements, eV/atom: 0.00
! Crystal system: tetragonal